DFT (PBE) results for an optimized crystal structure of Nd2DyErTe5.

Lattice parameters (Å, degrees): 5.507 5.507 11.545 90.00 90.00 90.00
Last column: magnetic moment on the atom in μB.
Fractional positions:
Nd  0.500  0.500  0.336  0.11
Nd  0.500  0.500  0.664  0.11
Dy  0.000  0.000  0.000  0.01
Er  0.000  0.000  0.500  0.02
Te  0.000  0.500  0.500  0.00
Te  0.500  0.000  0.500  0.00
Te  0.000  0.000  0.754  0.00
Te  0.000  0.000  0.246  0.00
Te  0.500  0.500  0.000  0.01

Summary:
* formation energy from raw total energies: -809 meV/atom
* total magnetization: 0.05 μB per atom
* E: -4.63 eV per atom

DFT (PBE) results for an optimized crystal structure of Nd2DyEr3Te6.

Lattice parameters (Å, degrees): 4.338 8.864 9.860 104.25 102.71 90.00
Fractional positions:
Nd  0.830  0.662  0.660
Nd  0.170  0.338  0.340
Dy  0.500  0.000  0.000
Er  0.500  0.500  0.000
Er  0.828  0.164  0.657
Er  0.172  0.836  0.343
Te  0.335  0.926  0.670
Te  0.662  0.593  0.323
Te  0.665  0.074  0.330
Te  0.996  0.250  0.992
Te  0.004  0.750  0.008
Te  0.338  0.407  0.677

Summary:
* formation energy from raw total energies: -1297 meV/atom
* total magnetization: 0.00 μB per atom
* E: -5.19 eV per atom

DFT (PBE) results for an optimized crystal structure of NdDy2ErTe6.

Lattice parameters (Å, degrees): 7.748 7.748 8.349 62.36 62.36 60.00
Fractional positions:
Nd  0.820  0.820  0.540
Dy  0.510  0.510  0.470
Dy  0.008  0.008  0.977
Er  0.323  0.323  0.031
Te  0.601  0.235  0.247
Te  0.235  0.917  0.247
Te  0.917  0.601  0.247
Te  0.403  0.729  0.752
Te  0.729  0.115  0.752
Te  0.115  0.403  0.752

Summary:
* formation energy from raw total energies: -1360 meV/atom
* total magnetization: 0.00 μB per atom
* E: -5.10 eV per atom

DFT (PBE) results for an optimized crystal structure of Nd3DyEr2Te6.

Lattice parameters (Å, degrees): 4.359 8.949 9.934 104.72 102.67 90.00
Fractional positions:
Nd  0.500  0.500  0.000
Nd  0.835  0.168  0.670
Nd  0.165  0.832  0.330
Dy  0.500  0.000  0.000
Er  0.834  0.668  0.668
Er  0.166  0.332  0.332
Te  0.335  0.908  0.671
Te  0.670  0.574  0.341
Te  0.665  0.092  0.329
Te  0.004  0.244  0.008
Te  0.996  0.756  0.992
Te  0.330  0.426  0.659

Summary:
* formation energy from raw total energies: -1335 meV/atom
* total magnetization: 0.00 μB per atom
* E: -5.24 eV per atom

DFT (PBE) results for an optimized crystal structure of Nd3Dy2ErTe6.

Lattice parameters (Å, degrees): 4.371 8.948 9.935 104.44 102.71 90.00
Fractional positions:
Nd  0.500  0.500  0.000
Nd  0.832  0.167  0.664
Nd  0.168  0.833  0.336
Dy  0.833  0.666  0.665
Dy  0.167  0.334  0.335
Er  0.500  0.000  0.000
Te  0.337  0.911  0.675
Te  0.669  0.576  0.338
Te  0.663  0.089  0.325
Te  0.003  0.241  0.005
Te  0.997  0.759  0.995
Te  0.331  0.424  0.662

Summary:
* formation energy from raw total energies: -1345 meV/atom
* total magnetization: 0.00 μB per atom
* E: -5.26 eV per atom

DFT (PBE) results for an optimized crystal structure of NdDyEr2Te6.

Lattice parameters (Å, degrees): 7.735 7.735 8.325 62.32 62.32 60.00
Fractional positions:
Nd  0.819  0.819  0.542
Dy  0.322  0.322  0.033
Er  0.509  0.509  0.473
Er  0.007  0.007  0.979
Te  0.605  0.238  0.246
Te  0.238  0.911  0.246
Te  0.911  0.605  0.246
Te  0.398  0.734  0.750
Te  0.734  0.118  0.750
Te  0.118  0.398  0.750

Summary:
* formation energy from raw total energies: -1355 meV/atom
* total magnetization: 0.00 μB per atom
* E: -5.09 eV per atom